Run a
Cd3ReCl (GGA-PBE, relaxed); Fermi-level density of states = 2.49 states/eV/cell; total moment = 3.17 μB per formula unit
1.0
5.429 0.000 0.000
0.000 5.429 0.000
0.000 0.000 5.429
Re Cd Cl
1 3 1
Cartesian
0.000 0.000 0.000
0.000 0.000 2.715
0.000 2.715 0.000
2.715 0.000 0.000
2.715 2.715 2.715


Run b
Cd3ReCl (GGA-PBE, relaxed); Fermi-level density of states = 6.35 states/eV/cell; total moment = 2.95 μB per formula unit
1.0
5.102 0.000 0.000
0.000 5.102 0.000
0.000 0.000 5.102
Cd Cl Re
3 1 1
Cartesian
0.000 2.551 0.000
2.551 0.000 0.000
0.000 0.000 2.551
0.000 0.000 0.000
2.551 2.551 2.551


Which of them is the most stable, and which is the least stable? run a and run b, in that order.